Run w
TeAsPSe2 after structural relaxation, computed with GGA-PBE.

Space group = No. 123
M_tot = 0.8 μB/f.u.

Cell lengths 5.294, 5.294, 5.515 Å; angles 90.00, 90.00, 90.00 degrees
Site moments in Bohr magnetons follow the coordinates.
Fractional positions:
P (0.500, 0.500, 0.500)  0.77
As (0.000, 0.000, 0.500)  -0.42
Te (0.000, 0.000, 0.000)  0.02
Se (0.000, 0.500, 0.000)  0.00
Se (0.500, 0.000, 0.000)  0.00

Run x
TeAsPSe2 after structural relaxation, computed with GGA-PBE.

Space group = No. 123
M_tot = 0.0 μB/f.u.

Cell lengths 4.873, 4.873, 4.851 Å; angles 90.00, 90.00, 90.00 degrees
Fractional positions:
P (0.000, 0.000, 0.000)
As (0.000, 0.000, 0.500)
Te (0.500, 0.500, 0.500)
Se (0.000, 0.500, 0.000)
Se (0.500, 0.000, 0.000)

Which is the most stable structure? run x is the most stable.

Run w
TiAs2PSe after structural relaxation, computed with GGA-PBE.

Space group = No. 123
M_tot = 0.0 μB/f.u.

Cell lengths 4.636, 4.636, 4.845 Å; angles 90.00, 90.00, 90.00 degrees
Fractional positions:
P (0.000, 0.000, 0.000)
As (0.000, 0.500, 0.000)
As (0.500, 0.000, 0.000)
Se (0.000, 0.000, 0.500)
Ti (0.500, 0.500, 0.500)

Run x
TiAs2PSe after structural relaxation, computed with GGA-PBE.

Space group = No. 123
M_tot = 0.5 μB/f.u.

Cell lengths 4.947, 4.947, 4.732 Å; angles 90.00, 90.00, 90.00 degrees
Site moments in Bohr magnetons follow the coordinates.
Fractional positions:
P (0.500, 0.500, 0.500)  0.27
As (0.000, 0.500, 0.000)  -0.04
As (0.500, 0.000, 0.000)  -0.04
Se (0.000, 0.000, 0.500)  0.00
Ti (0.000, 0.000, 0.000)  0.09

Which is the most stable structure? run x is the most stable.

Run w
VAs2PSe after structural relaxation, computed with GGA-PBE.

Space group = No. 123
M_tot = 0.2 μB/f.u.

Cell lengths 4.632, 4.632, 4.823 Å; angles 90.00, 90.00, 90.00 degrees
Site moments in Bohr magnetons follow the coordinates.
Fractional positions:
P (0.000, 0.000, 0.000)  0.01
As (0.000, 0.500, 0.000)  0.01
As (0.500, 0.000, 0.000)  0.01
Se (0.000, 0.000, 0.500)  -0.04
V (0.500, 0.500, 0.500)  0.11

Run x
VAs2PSe after structural relaxation, computed with GGA-PBE.

Space group = No. 123
M_tot = 1.3 μB/f.u.

Cell lengths 4.809, 4.809, 4.619 Å; angles 90.00, 90.00, 90.00 degrees
Site moments in Bohr magnetons follow the coordinates.
Fractional positions:
P (0.500, 0.500, 0.500)  0.45
As (0.000, 0.500, 0.000)  -0.12
As (0.500, 0.000, 0.000)  -0.12
Se (0.000, 0.000, 0.500)  -0.07
V (0.000, 0.000, 0.000)  0.75

Which is the most stable structure? run x is the most stable.

Run w
VAsPSe2 after structural relaxation, computed with GGA-PBE.

Space group = No. 123
M_tot = 0.1 μB/f.u.

Cell lengths 4.800, 4.800, 4.593 Å; angles 90.00, 90.00, 90.00 degrees
Site moments in Bohr magnetons follow the coordinates.
Fractional positions:
P (0.000, 0.000, 0.000)  0.01
As (0.000, 0.000, 0.500)  0.09
Se (0.000, 0.500, 0.000)  -0.01
Se (0.500, 0.000, 0.000)  -0.01
V (0.500, 0.500, 0.500)  -0.26

Run x
VAsPSe2 after structural relaxation, computed with GGA-PBE.

Space group = No. 123
M_tot = 1.2 μB/f.u.

Cell lengths 4.691, 4.691, 4.935 Å; angles 90.00, 90.00, 90.00 degrees
Site moments in Bohr magnetons follow the coordinates.
Fractional positions:
P (0.500, 0.500, 0.500)  0.43
As (0.000, 0.000, 0.500)  -0.14
Se (0.000, 0.500, 0.000)  -0.11
Se (0.500, 0.000, 0.000)  -0.11
V (0.000, 0.000, 0.000)  0.75

Which is the most stable structure? run x is the most stable.

Run w
YAs2PSe after structural relaxation, computed with GGA-PBE.

Space group = No. 123
M_tot = 1.0 μB/f.u.

Cell lengths 5.532, 5.532, 5.317 Å; angles 90.00, 90.00, 90.00 degrees
Site moments in Bohr magnetons follow the coordinates.
Fractional positions:
Y (0.000, 0.000, 0.000)  0.02
P (0.500, 0.500, 0.500)  0.81
As (0.000, 0.500, 0.000)  -0.20
As (0.500, 0.000, 0.000)  -0.20
Se (0.000, 0.000, 0.500)  0.05

Run x
YAs2PSe after structural relaxation, computed with GGA-PBE.

Space group = No. 123
M_tot = 0.0 μB/f.u.

Cell lengths 4.736, 4.736, 4.988 Å; angles 90.00, 90.00, 90.00 degrees
Fractional positions:
Y (0.500, 0.500, 0.500)
P (0.000, 0.000, 0.000)
As (0.000, 0.500, 0.000)
As (0.500, 0.000, 0.000)
Se (0.000, 0.000, 0.500)

Which is the most stable structure? run x is the most stable.

Run w
ZrAsPSe2 after structural relaxation, computed with GGA-PBE.

Space group = No. 123
M_tot = 1.4 μB/f.u.

Cell lengths 5.139, 5.139, 5.398 Å; angles 90.00, 90.00, 90.00 degrees
Site moments in Bohr magnetons follow the coordinates.
Fractional positions:
P (0.500, 0.500, 0.500)  0.84
As (0.000, 0.000, 0.500)  -0.25
Se (0.000, 0.500, 0.000)  -0.03
Se (0.500, 0.000, 0.000)  -0.03
Zr (0.000, 0.000, 0.000)  0.08

Run x
ZrAsPSe2 after structural relaxation, computed with GGA-PBE.

Space group = No. 123
M_tot = 0.0 μB/f.u.

Cell lengths 4.796, 4.796, 4.640 Å; angles 90.00, 90.00, 90.00 degrees
Fractional positions:
P (0.000, 0.000, 0.000)
As (0.000, 0.000, 0.500)
Se (0.000, 0.500, 0.000)
Se (0.500, 0.000, 0.000)
Zr (0.500, 0.500, 0.500)

Which is the most stable structure? run x is the most stable.

Run w
Si3AsP after structural relaxation, computed with GGA-PBE.

Space group = No. 221
M_tot = 0.0 μB/f.u.

Cell lengths 4.784, 4.784, 4.784 Å; angles 90.00, 90.00, 90.00 degrees
Fractional positions:
P (0.500, 0.500, 0.500)
As (0.000, 0.000, 0.000)
Si (0.000, 0.500, 0.000)
Si (0.000, 0.000, 0.500)
Si (0.500, 0.000, 0.000)

Run x
Si3AsP after structural relaxation, computed with GGA-PBE.

Space group = No. 221
M_tot = 0.0 μB/f.u.

Cell lengths 4.559, 4.559, 4.559 Å; angles 90.00, 90.00, 90.00 degrees
Fractional positions:
P (0.000, 0.000, 0.000)
As (0.500, 0.500, 0.500)
Si (0.000, 0.500, 0.000)
Si (0.000, 0.000, 0.500)
Si (0.500, 0.000, 0.000)

Which is the most stable structure? run x is the most stable.

Run w
SiAsP3 after structural relaxation, computed with GGA-PBE.

Space group = No. 221
M_tot = 0.0 μB/f.u.

Cell lengths 4.683, 4.683, 4.683 Å; angles 90.00, 90.00, 90.00 degrees
Fractional positions:
P (0.000, 0.500, 0.000)
P (0.000, 0.000, 0.500)
P (0.500, 0.000, 0.000)
As (0.000, 0.000, 0.000)
Si (0.500, 0.500, 0.500)

Run x
SiAsP3 after structural relaxation, computed with GGA-PBE.

Space group = No. 221
M_tot = 0.0 μB/f.u.

Cell lengths 4.493, 4.493, 4.493 Å; angles 90.00, 90.00, 90.00 degrees
Fractional positions:
P (0.000, 0.500, 0.000)
P (0.000, 0.000, 0.500)
P (0.500, 0.000, 0.000)
As (0.500, 0.500, 0.500)
Si (0.000, 0.000, 0.000)

Which is the most stable structure? run x is the most stable.